## ZrAs3C (PBE-GGA)

Data for a geometry-optimized ZrAs3C structure.

space group	Pm-3m
Fermi-level density of states	0.67	states/eV per atom
energy relative to the elements	0.609	eV per atom

Lattice parameters (Å, degrees): 4.3793 4.3793 4.3793 90.00 90.00 90.00
Element x y z (fractional)
As: 0.5000 0.0000 0.0000
As: 0.0000 0.0000 0.5000
As: 0.0000 0.5000 0.0000
C: 0.0000 0.0000 0.0000
Zr: 0.5000 0.5000 0.5000